1.
The following is a PBE-GGA calculation of an optimized crystal structure of CsPa4Te12, from Alexandria.

Properties
Uncorrected formation energy in kJ/mol of atoms: -55
Total moment in μB per cell: 0.00

Unit cell a=11.0389 b=11.0389 c=11.0389 alpha=90.00 beta=90.00 gamma=90.00
Space group Im-3 (No. 204)
Inequivalent atoms, fractional coordinates:
Cs 0.0000 0.0000 0.0000 (multiplicity 2)
Pa 0.2500 0.2500 0.2500 (multiplicity 8)
Te 0.0000 0.3164 0.1685 (multiplicity 24)


2.
The following is a PBE-GGA calculation of an optimized crystal structure of Cs5PaTe5, from Alexandria.

Properties
Uncorrected formation energy in kJ/mol of atoms: -95
Total moment in μB per cell: 0.00

Unit cell a=17.5782 b=6.9293 c=10.2842 alpha=90.00 beta=110.73 gamma=90.00
Space group C2/m (No. 12)
Inequivalent atoms, fractional coordinates:
Cs 0.0000 0.0000 0.0000 (multiplicity 2)
Cs 0.1712 0.5000 0.3295 (multiplicity 4)
Cs 0.2021 0.5000 0.7992 (multiplicity 4)
Pa 0.0000 0.0000 0.5000 (multiplicity 2)
Te 0.0000 0.5000 0.5000 (multiplicity 2)
Te 0.1279 0.0000 0.3729 (multiplicity 4)
Te 0.1308 0.0000 0.7840 (multiplicity 4)


3.
The following is a PBE-GGA calculation of an optimized crystal structure of CsPa4Te8, from Alexandria.

Properties
Uncorrected formation energy in kJ/mol of atoms: -80
Total moment in μB per cell: 10.03
E above lowest polymorph in meV per atom: 0

Unit cell a=8.2859 b=8.2859 c=20.2765 alpha=90.00 beta=90.00 gamma=120.00
Space group P6_3/mmc (No. 194)
Inequivalent atoms, fractional coordinates:
Cs 0.0000 0.0000 0.0000 (multiplicity 2)
Pa 0.0000 0.0000 0.2500 (multiplicity 2)
Pa 0.0035 0.5017 0.2500 (multiplicity 6)
Te 0.1676 0.3352 0.6540 (multiplicity 12)
Te 0.3333 0.6667 0.1528 (multiplicity 4)